Here is a geometry-optimized Ta2CrBiO structure from Alexandria via LeMat-Bulk. Energies are from PBE with a Hubbard U.

Spin magnetization (μB per cell): 0.7
DFT total energy (eV for the cell shown): -27.755
Crystal system: tetragonal

Geometry as extended XYZ:
```
5
Lattice="5.332 0.000 0.000 0.000 5.332 0.000 0.000 0.000 5.270" Properties=species:S:1:pos:R:3 pbc="T T T"
Ta 0.000 2.666 0.000
Ta 2.666 0.000 0.000
Cr 0.000 0.000 2.635
Bi 0.000 0.000 0.000
O 2.666 2.666 2.635
```